The following is a DFT calculation (GGA-PBE) of a relaxed structure of SmYAlNi2.

a = 5.434 Å, b = 5.434 Å, c = 5.434 Å
α = 134.28°, β = 119.93°, γ = 78.63°
Fractional positions:
1 Al 0.000 0.000 0.000
2 Ni 0.733 0.500 0.233
3 Ni 0.267 0.500 0.767
4 Sm 0.704 0.204 0.500
5 Y 0.296 0.796 0.500

**SG**: No. 44
**Total moment**: 0.00 μB/f.u.
**Total DFT energy (no corrections)**: -28.62 eV per formula unit
**V**: 19.31 Å³/atom